LaNiHg2: relaxed, PBE. Values from VASP.

Structure (Quantum ESPRESSO input):
```
&SYSTEM
  ibrav = 0, nat = 4, ntyp = 3
/
ATOMIC_SPECIES
La 138.91 La.upf
Ni 58.69 Ni.upf
Hg 200.59 Hg.upf
CELL_PARAMETERS angstrom
5.483 -1.869 0.000
5.483 1.869 0.000
-2.303 0.000 4.510
ATOMIC_POSITIONS crystal
La 0.000 0.000 0.000
Ni 0.500 0.500 0.500
Hg 0.213 0.213 0.712
Hg 0.787 0.787 0.288
```

M_tot = 0.0 μB per cell
Crystal system = monoclinic
DOS at the Fermi energy = 3.3 states/eV per cell
DFT formation energy = -0.19 eV per atom
Calculated total energy = -3.020 eV per atom

---

LaNiHg2: relaxed, PBE. Values from VASP.

Structure (Quantum ESPRESSO input):
```
&SYSTEM
  ibrav = 0, nat = 4, ntyp = 3
/
ATOMIC_SPECIES
La 138.91 La.upf
Ni 58.69 Ni.upf
Hg 200.59 Hg.upf
CELL_PARAMETERS angstrom
0.000 3.569 3.569
3.569 0.000 3.569
3.569 3.569 0.000
ATOMIC_POSITIONS crystal
La 0.000 0.000 0.000
Ni 0.750 0.750 0.750
Hg 0.250 0.250 0.250
Hg 0.500 0.500 0.500
```

M_tot = 0.0 μB per cell
Crystal system = cubic
DOS at the Fermi energy = 3.4 states/eV per cell
DFT formation energy = -0.17 eV per atom
Calculated total energy = -2.998 eV per atom

---

La2NiHg: relaxed, PBE. Values from VASP.

Structure (Quantum ESPRESSO input):
```
&SYSTEM
  ibrav = 0, nat = 4, ntyp = 3
/
ATOMIC_SPECIES
La 138.91 La.upf
Ni 58.69 Ni.upf
Hg 200.59 Hg.upf
CELL_PARAMETERS angstrom
5.317 0.000 0.000
0.000 5.317 0.000
0.000 0.000 3.766
ATOMIC_POSITIONS crystal
La 0.000 0.500 0.000
La 0.500 0.000 0.000
Ni 0.000 0.000 0.500
Hg 0.500 0.500 0.500
```

M_tot = 0.0 μB per cell
Crystal system = tetragonal
DOS at the Fermi energy = 3.4 states/eV per cell
DFT formation energy = -0.28 eV per atom
Calculated total energy = -4.264 eV per atom

---

LaNiHg2: relaxed, PBE. Values from VASP.

Structure (Quantum ESPRESSO input):
```
&SYSTEM
  ibrav = 0, nat = 4, ntyp = 3
/
ATOMIC_SPECIES
La 138.91 La.upf
Ni 58.69 Ni.upf
Hg 200.59 Hg.upf
CELL_PARAMETERS angstrom
4.699 -2.103 0.000
4.699 2.103 0.000
-2.996 0.000 4.783
ATOMIC_POSITIONS crystal
La 0.000 0.000 0.000
Ni 0.273 0.273 0.606
Hg 0.587 0.587 0.626
Hg 0.802 0.802 0.321
```

M_tot = 0.0 μB per cell
Crystal system = monoclinic
DOS at the Fermi energy = 2.8 states/eV per cell
DFT formation energy = -0.25 eV per atom
Calculated total energy = -3.081 eV per atom

---

Repeat the fourth record exactly.
LaNiHg2: relaxed, PBE. Values from VASP.

Structure (Quantum ESPRESSO input):
```
&SYSTEM
  ibrav = 0, nat = 4, ntyp = 3
/
ATOMIC_SPECIES
La 138.91 La.upf
Ni 58.69 Ni.upf
Hg 200.59 Hg.upf
CELL_PARAMETERS angstrom
4.699 -2.103 0.000
4.699 2.103 0.000
-2.996 0.000 4.783
ATOMIC_POSITIONS crystal
La 0.000 0.000 0.000
Ni 0.273 0.273 0.606
Hg 0.587 0.587 0.626
Hg 0.802 0.802 0.321
```

M_tot = 0.0 μB per cell
Crystal system = monoclinic
DOS at the Fermi energy = 2.8 states/eV per cell
DFT formation energy = -0.25 eV per atom
Calculated total energy = -3.081 eV per atom

---

Q: Which of these has the lowest DFT formation energy?
A: La2NiHg

---

Copy entry 1 word for word.
LaNiHg2: relaxed, PBE. Values from VASP.

Structure (Quantum ESPRESSO input):
```
&SYSTEM
  ibrav = 0, nat = 4, ntyp = 3
/
ATOMIC_SPECIES
La 138.91 La.upf
Ni 58.69 Ni.upf
Hg 200.59 Hg.upf
CELL_PARAMETERS angstrom
5.483 -1.869 0.000
5.483 1.869 0.000
-2.303 0.000 4.510
ATOMIC_POSITIONS crystal
La 0.000 0.000 0.000
Ni 0.500 0.500 0.500
Hg 0.213 0.213 0.712
Hg 0.787 0.787 0.288
```

M_tot = 0.0 μB per cell
Crystal system = monoclinic
DOS at the Fermi energy = 3.3 states/eV per cell
DFT formation energy = -0.19 eV per atom
Calculated total energy = -3.020 eV per atom